Version a
Entry from OQMD via LeMat-Bulk: an optimized crystal structure of GaReNO (PBE).

Its total moment is 0.00 μB/atom. Its crystal system is orthorhombic.

It has space group Pca2_1 (No. 29), with a = 5.226 Å, b = 6.895 Å, c = 4.991 Å, α = 90.00°, β = 90.00° and γ = 90.00°. Symmetry generates all atoms from Ga at (0.110, 0.098, 0.000), Re at (0.064, 0.567, 0.046), N at (0.051, 0.137, 0.630) and O at (0.078, 0.696, 0.662).



Version b
Entry from OQMD via LeMat-Bulk: an optimized crystal structure of GaReNO (PBE).

Its total moment is 0.00 μB/atom. Its crystal system is tetragonal.

It has space group P4/nmm (No. 129, origin choice 2), with a = 3.568 Å, b = 3.568 Å, c = 6.795 Å, α = 90.00°, β = 90.00° and γ = 90.00°. Symmetry generates all atoms from Ga at (0.250, 0.750, 0.000), Re at (0.250, 0.250, 0.331), N at (0.250, 0.250, 0.807) and O at (0.250, 0.750, 0.500).



Stability, descending: version a, version b